Computed, not measured: a relaxed structure of CuSnOsC at the PBE-GGA level of DFT.

Cell lengths 3.2505, 4.0216, 10.5521 Å; angles 90.00, 90.00, 90.00 degrees
Space group Imm2 (No. 44)
Inequivalent atoms, fractional coordinates:
1 Cu 0.0000 0.0000 0.0000 x2
2 Sn 0.0000 0.5000 0.2757 x2
3 Os 0.0000 0.0000 0.4517 x2
4 C 0.0000 0.5000 0.0537 x2

Computed properties:
uncorrected energy: -6.5341 eV/atom
ΔH_f (0 K): 2.42 eV per formula unit


Computed, not measured: a relaxed structure of B2PC at the PBE-GGA level of DFT.

Cell lengths 7.6766, 2.7568, 5.0931 Å; angles 90.00, 130.00, 90.00 degrees
Space group Cm (No. 8)
Inequivalent atoms, fractional coordinates:
1 B 0.0000 0.0000 0.0000 x2
2 B 0.0479 0.5000 0.8060 x2
3 P 0.2150 0.0000 0.4983 x2
4 C 0.2199 0.5000 0.7385 x2

Computed properties:
uncorrected energy: -6.7030 eV/atom
ΔH_f (0 K): 1.18 eV per formula unit


Computed, not measured: a relaxed structure of SmZrAgSn at the PBE-GGA level of DFT.

Cell lengths 7.2543, 7.2543, 7.2543 Å; angles 90.00, 90.00, 90.00 degrees
Space group F-43m (No. 216)
Inequivalent atoms, fractional coordinates:
1 Sm 0.0000 0.0000 0.0000 x4
2 Zr 0.0000 0.0000 0.5000 x4
3 Ag 0.2500 0.2500 0.2500 x4
4 Sn 0.2500 0.2500 0.7500 x4

Computed properties:
uncorrected energy: -5.3495 eV/atom
ΔH_f (0 K): -1.28 eV per formula unit


Computed, not measured: a relaxed structure of TiAsPd at the PBE-GGA level of DFT.

Cell lengths 4.3112, 4.3112, 2.9424 Å; angles 90.00, 90.00, 120.00 degrees
Space group P3m1 (No. 156)
Inequivalent atoms, fractional coordinates:
1 Ti 0.0000 0.0000 0.0000 x1
2 As 0.6667 0.3333 0.5602 x1
3 Pd 0.3333 0.6667 0.4878 x1

Computed properties:
uncorrected energy: -6.4781 eV/atom
ΔH_f (0 K): -1.70 eV per formula unit


Computed, not measured: a relaxed structure of Ti3BeCr at the PBE-GGA level of DFT.

Cell lengths 4.4658, 4.4658, 4.4658 Å; angles 90.00, 90.00, 90.00 degrees
Space group Pm-3m (No. 221)
Inequivalent atoms, fractional coordinates:
1 Ti 0.0000 0.0000 0.5000 x3
2 Be 0.5000 0.5000 0.5000 x1
3 Cr 0.0000 0.0000 0.0000 x1

Computed properties:
uncorrected energy: -6.5850 eV/atom
ΔH_f (0 K): 4.11 eV per formula unit